VASP calculation (GGA-PBE) on a geometry-optimized RbReCl4 structure.

Its electronic total energy is -4.579 eV per atom. The total moment is 0.000 μB/atom. For the volume, the calculation gives 1040.5 Å³ per cell. The value obtained for the formation energy (no corrections) is -1.112 eV/atom. As for the density: 3.959 Mg/m³.

Cell lengths 9.2947, 9.2947, 12.6299 Å; angles 90.00, 90.00, 107.52 degrees
Last column: nearest neighbours and their distance in Å.
Fractional positions:
Rb (0.2404, 0.2404, 0.0000)  8 Cl 3.31-3.63
Rb (0.2404, 0.2404, 0.5000)  8 Cl 3.31-3.63
Rb (0.2485, 0.7515, 0.7500)  7 Cl 3.29-3.67
Rb (0.7515, 0.2485, 0.2500)  7 Cl 3.29-3.67
Rb (0.7596, 0.7596, 0.0000)  8 Cl 3.31-3.63
Rb (0.7596, 0.7596, 0.5000)  8 Cl 3.31-3.63
Re (0.2162, 0.7838, 0.1520)  4 Cl 2.32-2.44, 2 Re 2.47
Re (0.2162, 0.7838, 0.3480)  4 Cl 2.32-2.44, 2 Re 2.47
Re (0.3588, 0.6412, 0.2500)  5 Cl 2.34-2.60, 2 Re 2.47
Re (0.6412, 0.3588, 0.7500)  5 Cl 2.34-2.60, 2 Re 2.47
Re (0.7838, 0.2162, 0.6520)  4 Cl 2.32-2.44, 2 Re 2.47
Re (0.7838, 0.2162, 0.8480)  4 Cl 2.32-2.44, 2 Re 2.47
Cl (0.0068, 0.4082, 0.6238)  1 Re 2.32
Cl (0.0068, 0.4082, 0.8762)  1 Re 2.32
Cl (0.0768, 0.9232, 0.2500)  2 Re 2.43
Cl (0.1304, 0.8696, 0.5296)  1 Re 2.63
Cl (0.1304, 0.8696, 0.9704)  1 Re 2.63
Cl (0.1785, 0.4027, 0.2500)  1 Re 2.34
Cl (0.3580, 0.6420, 0.0569)  2 Re 2.44
Cl (0.3580, 0.6420, 0.4431)  2 Re 2.44
Cl (0.4027, 0.1785, 0.7500)  1 Re 2.34
Cl (0.4082, 0.0068, 0.1238)  1 Re 2.32
Cl (0.4082, 0.0068, 0.3762)  1 Re 2.32
Cl (0.4680, 0.5320, 0.7500)  1 Re 2.60
Cl (0.5320, 0.4680, 0.2500)  1 Re 2.60
Cl (0.5918, 0.9932, 0.6238)  1 Re 2.32
Cl (0.5918, 0.9932, 0.8762)  1 Re 2.32
Cl (0.5973, 0.8215, 0.2500)  1 Re 2.34
Cl (0.6420, 0.3580, 0.5569)  2 Re 2.44
Cl (0.6420, 0.3580, 0.9431)  2 Re 2.44
Cl (0.8215, 0.5973, 0.7500)  1 Re 2.34
Cl (0.8696, 0.1304, 0.0296)  1 Re 2.63
Cl (0.8696, 0.1304, 0.4704)  1 Re 2.63
Cl (0.9232, 0.0768, 0.7500)  2 Re 2.43
Cl (0.9932, 0.5918, 0.1238)  1 Re 2.32
Cl (0.9932, 0.5918, 0.3762)  1 Re 2.32

=====

VASP calculation (GGA-PBE) on a geometry-optimized Rb2ReCl2 structure.

Its electronic total energy is -3.519 eV per atom. The total moment is 1.000 μB/atom. For the volume, the calculation gives 270.0 Å³ per cell. The value obtained for the formation energy (no corrections) is 0.096 eV/atom. As for the density: 2.632 Mg/m³.

Cell lengths 8.2226, 8.2226, 8.2226 Å; angles 135.42, 135.42, 64.89 degrees
Last column: nearest neighbours and their distance in Å.
Fractional positions:
Rb (0.1950, 0.1950, 0.0000)  4 Cl 3.21
Rb (0.8050, 0.8050, 0.0000)  4 Cl 3.21
Re (0.5000, 0.5000, 0.0000)  2 Rb 4.23, 8 Cl 4.67
Cl (0.2500, 0.7500, 0.5000)  4 Rb 3.21
Cl (0.7500, 0.2500, 0.5000)  4 Rb 3.21

=====

VASP calculation (GGA-PBE) on a geometry-optimized RbReCl3 structure.

Its electronic total energy is -2.979 eV per atom. The total moment is 1.331 μB/atom. For the volume, the calculation gives 214.4 Å³ per cell. The value obtained for the formation energy (no corrections) is 0.812 eV/atom. As for the density: 2.928 Mg/m³.

Cell lengths 5.9853, 5.9853, 5.9853 Å; angles 90.00, 90.00, 90.00 degrees
Last column: nearest neighbours and their distance in Å.
Fractional positions:
Rb (0.0000, 0.0000, 0.0000)  6 Cl 2.99
Re (0.5000, 0.5000, 0.5000)  12 Cl 4.23
Cl (0.0000, 0.0000, 0.5000)  2 Rb 2.99
Cl (0.0000, 0.5000, 0.0000)  2 Rb 2.99
Cl (0.5000, 0.0000, 0.0000)  2 Rb 2.99

=====

VASP calculation (GGA-PBE) on a geometry-optimized RbRe3Cl structure.

Its electronic total energy is -5.622 eV per atom. The total moment is 0.450 μB/atom. For the volume, the calculation gives 96.4 Å³ per cell. The value obtained for the formation energy (no corrections) is 2.410 eV/atom. As for the density: 11.703 Mg/m³.

Cell lengths 4.5855, 4.5855, 4.5855 Å; angles 90.00, 90.00, 90.00 degrees
Last column: nearest neighbours and their distance in Å.
Fractional positions:
Rb (0.0000, 0.0000, 0.0000)  12 Re 3.24
Re (0.0000, 0.5000, 0.5000)  2 Cl 2.29
Re (0.5000, 0.0000, 0.5000)  2 Cl 2.29
Re (0.5000, 0.5000, 0.0000)  2 Cl 2.29
Cl (0.5000, 0.5000, 0.5000)  6 Re 2.29

=====

VASP calculation (GGA-PBE) on a geometry-optimized RbRe2Cl structure.

Its electronic total energy is -5.829 eV per atom. The total moment is 0.000 μB/atom. For the volume, the calculation gives 239.4 Å³ per cell. The value obtained for the formation energy (no corrections) is 1.099 eV/atom. As for the density: 6.845 Mg/m³.

Cell lengths 15.8739, 15.8739, 15.8739 Å; angles 165.84, 165.84, 20.08 degrees
Last column: nearest neighbours and their distance in Å.
Fractional positions:
Rb (0.0000, 0.0000, 0.0000)  4 Cl 2.77
Rb (0.7500, 0.2500, 0.5000)  4 Cl 2.77
Re (0.1997, 0.1250, 0.5747)  2 Re 2.39
Re (0.3750, 0.8003, 0.9253)  2 Re 2.39
Re (0.5503, 0.6250, 0.4253)  2 Re 2.39
Re (0.8750, 0.4497, 0.0747)  2 Re 2.39
Cl (0.2500, 0.7500, 0.5000)  4 Rb 2.77
Cl (0.5000, 0.5000, 0.0000)  4 Rb 2.77

=====

VASP calculation (GGA-PBE) on a geometry-optimized RbRe2Cl structure.

Its electronic total energy is -4.019 eV per atom. The total moment is 0.003 μB/atom. For the volume, the calculation gives 73.5 Å³ per cell. The value obtained for the formation energy (no corrections) is 2.909 eV/atom. As for the density: 11.141 Mg/m³.

Cell lengths 4.7025, 4.7025, 4.7025 Å; angles 60.00, 60.00, 60.00 degrees
Last column: nearest neighbours and their distance in Å.
Fractional positions:
Rb (0.0000, 0.0000, 0.0000)  8 Re 2.88
Re (0.2500, 0.2500, 0.2500)  4 Cl 2.88, 4 Rb 2.88
Re (0.7500, 0.7500, 0.7500)  4 Cl 2.88, 4 Rb 2.88
Cl (0.5000, 0.5000, 0.5000)  8 Re 2.88

=====

VASP calculation (GGA-PBE) on a geometry-optimized Rb2ReSCl5 structure.

Its electronic total energy is -4.223 eV per atom. The total moment is 0.223 μB/atom. For the volume, the calculation gives 267.6 Å³ per cell. The value obtained for the formation energy (no corrections) is -1.141 eV/atom. As for the density: 3.516 Mg/m³.

Cell lengths 7.2175, 7.2175, 7.2175 Å; angles 119.57, 119.57, 90.75 degrees
Last column: nearest neighbours and their distance in Å.
Fractional positions:
Rb (0.0000, 0.5000, 0.5000)  10 Cl 3.61-3.64, 2 S 3.64
Rb (0.5000, 0.0000, 0.5000)  10 Cl 3.61-3.64, 2 S 3.64
Re (0.2313, 0.2313, 0.0000)  1 S 2.18, 4 Cl 2.39
S (0.0165, 0.0165, 0.0000)  1 Re 2.18
Cl (0.0182, 0.0182, 0.5367)  1 Re 2.39
Cl (0.0182, 0.4815, 0.0000)  1 Re 2.39
Cl (0.4776, 0.4776, 0.0000)  1 Re 2.50
Cl (0.4815, 0.0182, 0.0000)  1 Re 2.39
Cl (0.4815, 0.4815, 0.4633)  1 Re 2.39

=====

VASP calculation (GGA-PBE) on a geometry-optimized Rb2ReS2Cl4 structure.

Its electronic total energy is -4.297 eV per atom. The total moment is 0.111 μB/atom. For the volume, the calculation gives 264.4 Å³ per cell. The value obtained for the formation energy (no corrections) is -0.961 eV/atom. As for the density: 3.536 Mg/m³.

Cell lengths 7.0078, 7.0078, 6.0699 Å; angles 92.23, 92.23, 62.61 degrees
Last column: nearest neighbours and their distance in Å.
Fractional positions:
Rb (0.1599, 0.1599, 0.2554)  6 Cl 3.45-3.57, 3 S 3.65-3.76
Rb (0.8401, 0.8401, 0.7446)  6 Cl 3.45-3.57, 3 S 3.65-3.76
Re (0.5000, 0.5000, 0.0000)  2 S 2.21, 4 Cl 2.44
S (0.3598, 0.3598, 0.7509)  1 Re 2.21
S (0.6402, 0.6402, 0.2491)  1 Re 2.21
Cl (0.1686, 0.6463, 0.2055)  1 Re 2.44
Cl (0.3537, 0.8314, 0.7945)  1 Re 2.44
Cl (0.6463, 0.1686, 0.2055)  1 Re 2.44
Cl (0.8314, 0.3537, 0.7945)  1 Re 2.44